{
  "formula": "DyPuFeO6",
  "functional": "GGA+U",
  "state": "relaxed",
  "spacegroup": "P-31c",
  "energy_ev_per_atom": -8.37,
  "n_ef_per_ev_atom": 0.722,
  "total_magnetization_mub_per_atom": 0.7778,
  "lattice": [[5.565, 0.000, 0.000], [-2.783, 4.820, 0.000], [0.000, 0.000, 8.772]],
  "species": ["O", "O", "O", "O", "O", "O", "O", "O", "O", "O", "O", "O", "Fe", "Fe", "Dy", "Dy", "Pu", "Pu"],
  "fractional_positions": [[0.691, 0.663, 0.125], [0.337, 0.028, 0.125], [0.972, 0.309, 0.125], [0.691, 0.028, 0.375], [0.972, 0.663, 0.375], [0.663, 0.691, 0.625], [0.309, 0.972, 0.625], [0.337, 0.309, 0.375], [0.309, 0.337, 0.875], [0.028, 0.337, 0.625], [0.028, 0.691, 0.875], [0.663, 0.972, 0.875], [0.000, 0.000, 0.500], [0.000, 0.000, 0.000], [0.333, 0.667, 0.250], [0.667, 0.333, 0.750], [0.333, 0.667, 0.750], [0.667, 0.333, 0.250]]
}